(1)
Entry from Alexandria: an optimized crystal structure of Ac2B2Ru3 (PBE).

Unit cell a=4.2309 b=6.1750 c=5.9563 alpha=110.49 beta=110.80 gamma=90.00
With the nearest neighbours (Å) after each atom.
Sites, in units of the cell vectors:
Ac 0.3816 0.1996 0.7633  5 Ru 2.99-3.20, 1 B 3.06
Ac 0.6184 0.8004 0.2367  5 Ru 2.99-3.20, 1 B 3.06
B 0.1482 0.3468 0.2964  4 Ru 2.12-2.16
B 0.8518 0.6532 0.7036  4 Ru 2.12-2.16
Ru 0.0000 0.0000 0.0000  2 B 2.16
Ru 0.3196 0.6508 0.6392  3 B 2.12-2.14
Ru 0.6804 0.3492 0.3608  3 B 2.12-2.14

Calculated values
As for the crystal system: monoclinic. The electronic total energy comes out at -7.316 eV/atom. The space group is C2/m (12). The formation enthalpy at 0 K is -0.26 eV/atom.

=====

(2)
Entry from Alexandria: an optimized crystal structure of CeTi2S4 (PBE).

Unit cell a=3.7359 b=6.1451 c=12.0492 alpha=90.00 beta=90.00 gamma=107.70
With the nearest neighbours (Å) after each atom.
Sites, in units of the cell vectors:
Ce 0.6187 0.2374 0.7500  6 S 2.80-2.86
Ce 0.3813 0.7626 0.2500  6 S 2.80-2.86
Ti 0.1164 0.2328 0.4431  6 S 2.41-2.63
Ti 0.8836 0.7672 0.9431  6 S 2.41-2.63
Ti 0.1164 0.2328 0.0569  6 S 2.41-2.63
Ti 0.8836 0.7672 0.5569  6 S 2.41-2.63
S 0.7641 0.5282 0.1112  3 Ti 2.46-2.63
S 0.7641 0.5282 0.3888  3 Ti 2.46-2.63
S 0.2359 0.4718 0.8888  3 Ti 2.46-2.63
S 0.2359 0.4718 0.6112  3 Ti 2.46-2.63
S 0.9401 0.8802 0.7500  2 Ti 2.42
S 0.0599 0.1198 0.2500  2 Ti 2.42
S 0.5000 0.0000 0.0000  4 Ti 2.41
S 0.5000 0.0000 0.5000  4 Ti 2.41

Calculated values
As for the crystal system: orthorhombic. The electronic total energy comes out at -7.024 eV/atom. The space group is Cmcm (63). Its energy relative to the elements, uncorrected is -1.56 eV/atom.

=====

(3)
Entry from Alexandria: an optimized crystal structure of POs2Se (PBE).

Unit cell a=2.8322 b=2.8322 c=10.0241 alpha=90.00 beta=90.00 gamma=120.45
With the nearest neighbours (Å) after each atom.
Sites, in units of the cell vectors:
P 0.0000 0.0000 0.5631  2 Os 2.35
Os 0.0000 0.0000 0.9865  2 Se 2.56, 8 Os 2.75-2.83
Os 0.5000 0.5000 0.7511  2 P 2.35
Se 0.5000 0.5000 0.1993  2 Os 2.56, 6 Se 2.81-2.83

Calculated values
As for the crystal system: orthorhombic. The energy above the most stable polymorph in this dataset is 0.416 eV/atom. The electronic total energy comes out at -7.226 eV/atom. The space group is Cmm2 (35). Its energy relative to the elements, uncorrected is 0.61 eV/atom.

=====

(4)
Entry from Alexandria: an optimized crystal structure of ScTc3Ag (PBE).

Unit cell a=4.7939 b=4.7939 c=4.7939 alpha=90.00 beta=90.00 gamma=90.00
With the nearest neighbours (Å) after each atom.
Sites, in units of the cell vectors:
Sc 0.5000 0.5000 0.5000  12 Tc 3.39
Tc 0.0000 0.5000 0.0000  2 Ag 2.40
Tc 0.0000 0.0000 0.5000  2 Ag 2.40
Tc 0.5000 0.0000 0.0000  2 Ag 2.40
Ag 0.0000 0.0000 0.0000  6 Tc 2.40

Calculated values
As for the crystal system: cubic. The energy above the most stable polymorph in this dataset is 0.214 eV/atom. The electronic total energy comes out at -6.002 eV/atom. The space group is Pm-3m (221). The formation enthalpy at 0 K is 2.05 eV/atom.

=====

(5)
Entry from Alexandria: an optimized crystal structure of KReAsBr2 (PBE).

Unit cell a=5.5070 b=5.5070 c=4.7472 alpha=90.00 beta=90.00 gamma=90.00
With the nearest neighbours (Å) after each atom.
Sites, in units of the cell vectors:
Re 0.0000 0.0000 0.0000  2 As 2.37
As 0.0000 0.0000 0.5000  2 Re 2.37
K 0.5000 0.5000 0.5000  8 Br 3.64, 4 As 3.89
Br 0.0000 0.5000 0.0000  2 Re 2.75
Br 0.5000 0.0000 0.0000  2 Re 2.75

Calculated values
As for the crystal system: tetragonal. The energy above the most stable polymorph in this dataset is 0.000 eV/atom. The electronic total energy comes out at -4.429 eV/atom. The space group is P4/mmm (123). Its energy relative to the elements, uncorrected is -0.12 eV/atom.

=====

(6)
Entry from Alexandria: an optimized crystal structure of RbHfMnS4 (PBE).

Unit cell a=6.3864 b=6.7588 c=10.0078 alpha=90.00 beta=123.34 gamma=90.00
With the nearest neighbours (Å) after each atom.
Sites, in units of the cell vectors:
Rb 0.6492 0.7500 0.9379  3 S 3.20-3.57
Rb 0.3508 0.2500 0.0621  3 S 3.20-3.57
Hf 0.7850 0.7500 0.4512  6 S 2.50-2.64
Hf 0.2150 0.2500 0.5488  6 S 2.50-2.64
Mn 0.2061 0.7500 0.3513  4 S 2.20-2.32
Mn 0.7939 0.2500 0.6487  4 S 2.20-2.32
S 0.0719 0.4955 0.6807  1 Mn 2.32, 1 Hf 2.58
S 0.9281 0.9955 0.3193  1 Mn 2.32, 1 Hf 2.58
S 0.9281 0.5045 0.3193  1 Mn 2.32, 1 Hf 2.58
S 0.0719 0.0045 0.6807  1 Mn 2.32, 1 Hf 2.58
S 0.3591 0.7500 0.1943  1 Mn 2.26, 1 Hf 2.51
S 0.6409 0.2500 0.8057  1 Mn 2.26, 1 Hf 2.51
S 0.5566 0.7500 0.5893  1 Mn 2.20
S 0.4434 0.2500 0.4107  1 Mn 2.20

Calculated values
As for the crystal system: monoclinic. The electronic total energy comes out at -6.313 eV/atom. The space group is P2_1/m (11). Its energy relative to the elements, uncorrected is -1.08 eV/atom.

=====

(7)
Entry from Alexandria: an optimized crystal structure of Al2RhSe (PBE).

Unit cell a=4.3799 b=4.3799 c=5.1748 alpha=74.23 beta=74.23 gamma=46.06
With the nearest neighbours (Å) after each atom.
Sites, in units of the cell vectors:
Rh 0.2500 0.2500 0.2500  6 Al 2.56-2.59
Al 0.9904 0.9904 0.0506  3 Rh 2.56-2.59, 2 Al 2.72, 3 Se 2.80-2.82
Al 0.5096 0.5096 0.4494  3 Rh 2.56-2.59, 2 Al 2.72, 3 Se 2.80-2.82
Se 0.7500 0.7500 0.7500  6 Al 2.80-2.82, 4 Rh 3.10

Calculated values
As for the crystal system: monoclinic. The electronic total energy comes out at -4.818 eV/atom. The space group is C2/m (12). Its energy relative to the elements, uncorrected is -0.24 eV/atom.

=====

(8)
Entry from Alexandria: an optimized crystal structure of Dy3GePd (PBE).

Unit cell a=7.1869 b=8.8673 c=8.8673 alpha=71.67 beta=80.17 gamma=80.17
With the nearest neighbours (Å) after each atom.
Sites, in units of the cell vectors:
Dy 0.4438 0.2444 0.0569  3 Pd 2.85-3.12, 2 Ge 3.02-3.10
Dy 0.9438 0.0569 0.2444  3 Pd 2.85-3.12, 2 Ge 3.02-3.10
Dy 0.0562 0.9431 0.7556  3 Pd 2.85-3.12, 2 Ge 3.02-3.10
Dy 0.5562 0.7556 0.9431  3 Pd 2.85-3.12, 2 Ge 3.02-3.10
Dy 0.9034 0.3308 0.4613  1 Pd 2.85, 1 Ge 2.85
Dy 0.4034 0.4613 0.3308  1 Pd 2.85, 1 Ge 2.85
Dy 0.5966 0.5387 0.6692  1 Pd 2.85, 1 Ge 2.85
Dy 0.0966 0.6692 0.5387  1 Pd 2.85, 1 Ge 2.85
Dy 0.9739 0.6477 0.1405  2 Pd 2.77-2.84, 2 Ge 2.95-2.98
Dy 0.4739 0.1405 0.6477  2 Pd 2.77-2.84, 2 Ge 2.95-2.98
Dy 0.5261 0.8595 0.3523  2 Pd 2.77-2.84, 2 Ge 2.95-2.98
Dy 0.0261 0.3523 0.8595  2 Pd 2.77-2.84, 2 Ge 2.95-2.98
Ge 0.7433 0.4039 0.1279  5 Dy 2.85-3.10
Ge 0.2433 0.1279 0.4039  5 Dy 2.85-3.10
Ge 0.7567 0.8721 0.5961  5 Dy 2.85-3.10
Ge 0.2567 0.5961 0.8721  5 Dy 2.85-3.10
Pd 0.2500 0.7881 0.2119  1 Pd 2.71, 6 Dy 2.77-3.00
Pd 0.2500 0.0492 0.9508  1 Pd 2.71, 4 Dy 2.84-2.85
Pd 0.7500 0.2119 0.7881  1 Pd 2.71, 6 Dy 2.77-3.00
Pd 0.7500 0.9508 0.0492  1 Pd 2.71, 4 Dy 2.84-2.85

Calculated values
As for the crystal system: monoclinic. The electronic total energy comes out at -5.268 eV/atom. The space group is C2/c (15). The formation enthalpy at 0 K is -0.55 eV/atom.